A plane-wave DFT calculation with PBE-GGA was carried out for a geometry-optimized FeAg2Ir structure.

- energy relative to the elements (eV per atom) = 1.1582
- DOS(E_F) (states/eV/f.u.) = 8.86
- space-group type = I-42d (122)
- energy above the most stable polymorph in this dataset (meV per atom) = 961

Cell: 7.2658 7.2658 5.7251 Å, 50.61 50.61 90.00°
Site moments in Bohr magnetons follow the coordinates.
Fractional positions:
Ag1 0.8750 0.8554 0.7500  -0.01
Ag2 0.1446 0.6250 0.2500  -0.01
Ag3 0.6054 0.1250 0.2500  -0.01
Ag4 0.3750 0.3946 0.7500  -0.01
Fe1 0.2500 0.7500 0.5000  -0.14
Fe2 0.5000 0.5000 0.0000  -0.12
Ir1 0.0000 0.0000 0.0000  -0.11
Ir2 0.7500 0.2500 0.5000  -0.12

***

A plane-wave DFT calculation with PBE-GGA was carried out for a geometry-optimized ZnTcOs structure.

- energy relative to the elements (eV per atom) = 0.0902
- DOS(E_F) (states/eV/f.u.) = 1.42
- space-group type = Imm2 (44)
- energy above the most stable polymorph in this dataset (meV per atom) = 59

Cell: 4.7266 4.7266 4.7266 Å, 145.26 134.17 58.77°
Fractional positions:
Zn1 0.3339 0.3339 0.0000
Os1 0.0063 0.0063 0.0000
Tc1 0.6598 0.6598 0.0000

***

A plane-wave DFT calculation with PBE-GGA was carried out for a geometry-optimized CrFeSe2 structure.

- DOS(E_F) (states/eV/f.u.) = 2.43
- space-group type = Imm2 (44)
- energy above the most stable polymorph in this dataset (meV per atom) = 249

Cell: 7.2602 7.2602 7.2602 Å, 153.71 151.86 38.89°
Site moments in Bohr magnetons follow the coordinates.
Fractional positions:
Cr1 0.4389 0.4389 0.0000  2.92
Se1 0.0021 0.0021 0.0000  -0.07
Se2 0.2581 0.7581 0.5000  -0.01
Fe1 0.8009 0.3009 0.5000  2.61

***

A plane-wave DFT calculation with PBE-GGA was carried out for a geometry-optimized NaTc2Au structure.

- energy relative to the elements (eV per atom) = 1.1209
- DOS(E_F) (states/eV/f.u.) = 4.60
- space-group type = I-42d (122)
- energy above the most stable polymorph in this dataset (meV per atom) = 31

Cell: 7.8619 7.8619 6.0724 Å, 49.66 49.66 90.00°
Fractional positions:
Tc1 0.0869 0.6250 0.2500
Tc2 0.3750 0.3369 0.7500
Tc3 0.8750 0.9131 0.7500
Tc4 0.6631 0.1250 0.2500
Au1 0.7500 0.2500 0.5000
Au2 0.0000 0.0000 0.0000
Na1 0.5000 0.5000 0.0000
Na2 0.2500 0.7500 0.5000

***

A plane-wave DFT calculation with PBE-GGA was carried out for a geometry-optimized ZnIr2Rh structure.

- energy relative to the elements (eV per atom) = -0.0095
- DOS(E_F) (states/eV/f.u.) = 4.06
- space-group type = Pmmm (47)

Cell: 2.7618 3.8228 5.4258 Å, 90.00 90.00 90.00°
Fractional positions:
Rh1 0.5000 0.5000 0.2500
Zn1 0.5000 0.5000 0.7500
Ir1 0.0000 0.0000 0.5009
Ir2 0.0000 0.0000 0.9991

***

A plane-wave DFT calculation with PBE-GGA was carried out for a geometry-optimized Ac2DyCu3Sn4 structure.

- energy relative to the elements (eV per atom) = -0.4709
- DOS(E_F) (states/eV/f.u.) = 2.68
- space-group type = P-4m2 (115)

Cell: 4.6425 4.6425 11.7943 Å, 90.00 90.00 90.00°
Fractional positions:
Dy1 0.5000 0.5000 0.5000
Sn1 0.5000 0.5000 0.0000
Sn2 0.0000 0.5000 0.3440
Sn3 0.0000 0.0000 0.0000
Sn4 0.5000 0.0000 0.6560
Cu1 0.0000 0.0000 0.5000
Cu2 0.0000 0.5000 0.1213
Cu3 0.5000 0.0000 0.8787
Ac1 0.0000 0.5000 0.7688
Ac2 0.5000 0.0000 0.2312

***

A plane-wave DFT calculation with PBE-GGA was carried out for a geometry-optimized TcPdRh2 structure.

- energy relative to the elements (eV per atom) = 0.5156
- DOS(E_F) (states/eV/f.u.) = 2.93
- space-group type = R3m (160)
- energy above the most stable polymorph in this dataset (meV per atom) = 604

Cell: 3.7490 3.7490 6.0488 Å, 71.95 71.95 60.00°
Fractional positions:
Pd1 0.6654 0.6654 0.0038
Rh1 0.2412 0.2412 0.2764
Rh2 0.0898 0.0898 0.7306
Tc1 0.5036 0.5036 0.4891

***

A plane-wave DFT calculation with PBE-GGA was carried out for a geometry-optimized LiLaCePm structure.

- energy relative to the elements (eV per atom) = 0.2603
- DOS(E_F) (states/eV/f.u.) = 9.75
- space-group type = F-43m (216)

Cell: 5.5170 5.5170 5.5170 Å, 60.00 60.00 60.00°
Site moments in Bohr magnetons follow the coordinates.
Fractional positions:
Ce1 0.0000 0.0000 0.0000  1.09
Pm1 0.2500 0.2500 0.2500  0.30
Li1 0.5000 0.5000 0.5000  0.00
La1 0.7500 0.7500 0.7500  0.24

***

A plane-wave DFT calculation with PBE-GGA was carried out for a geometry-optimized PmY2ZrN4 structure.

- DOS(E_F) (states/eV/f.u.) = 1.16
- space-group type = P2/m (10)
- DFT total energy (eV per atom) = -9.06

Cell: 3.4430 5.9906 5.9589 Å, 109.24 90.00 90.00°
Fractional positions:
Y1 0.5000 0.0000 0.5000
Y2 0.0000 0.5000 0.5000
Zr1 0.0000 0.0000 0.0000
Pm1 0.5000 0.5000 0.0000
N1 0.0000 0.7655 0.2467
N2 0.0000 0.2344 0.7533
N3 0.5000 0.2333 0.2393
N4 0.5000 0.7667 0.7607

***

A plane-wave DFT calculation with PBE-GGA was carried out for a geometry-optimized YTmZrSc structure.

- energy relative to the elements (eV per atom) = 0.1878
- DOS(E_F) (states/eV/f.u.) = 9.05
- space-group type = F-43m (216)
- energy above the most stable polymorph in this dataset (meV per atom) = 108

Cell: 5.3547 5.3547 5.3547 Å, 60.00 60.00 60.00°
Site moments in Bohr magnetons follow the coordinates.
Fractional positions:
Y1 0.5000 0.5000 0.5000  0.08
Sc1 0.7500 0.7500 0.7500  0.28
Tm1 0.2500 0.2500 0.2500  0.25
Zr1 0.0000 0.0000 0.0000  0.62

***

A plane-wave DFT calculation with PBE-GGA was carried out for a geometry-optimized CrIr2Pd structure.

- energy relative to the elements (eV per atom) = -0.1069
- DOS(E_F) (states/eV/f.u.) = 3.09
- space-group type = R-3m (166)

Cell: 2.7091 2.7091 8.9905 Å, 81.33 81.33 60.00°
Fractional positions:
Ir1 0.7436 0.7436 0.7692
Ir2 0.2564 0.2564 0.2308
Pd1 0.5000 0.5000 0.5000
Cr1 0.0000 0.0000 0.0000

***

A plane-wave DFT calculation with PBE-GGA was carried out for a geometry-optimized AcNd3Ir structure.

- energy relative to the elements (eV per atom) = -0.2636
- DOS(E_F) (states/eV/f.u.) = 5.45
- space-group type = P2_1/c (14)
- energy above the most stable polymorph in this dataset (meV per atom) = 0

Cell: 7.8209 8.2568 10.6050 Å, 106.83 90.00 90.00°
Fractional positions:
Nd1 0.8004 0.4150 0.4680
Nd2 0.3741 0.0873 0.8916
Nd3 0.3004 0.5850 0.0320
Nd4 0.1996 0.5850 0.5320
Nd5 0.4887 0.7949 0.3831
Nd6 0.9887 0.2051 0.1169
Nd7 0.1259 0.0873 0.3916
Nd8 0.6996 0.4150 0.9680
Nd9 0.6259 0.9127 0.1084
Nd10 0.5113 0.2051 0.6169
Nd11 0.0113 0.7949 0.8831
Nd12 0.8741 0.9127 0.6084
Ir1 0.2464 0.9512 0.1045
Ir2 0.7536 0.0488 0.8955
Ir3 0.2536 0.9512 0.6045
Ir4 0.7464 0.0488 0.3955
Ac1 0.4459 0.3150 0.2484
Ac2 0.0541 0.3150 0.7484
Ac3 0.5541 0.6850 0.7516
Ac4 0.9459 0.6850 0.2516